[1]
Entry from Alexandria via LeMat-Bulk: Tb4ZrCd5 after structural relaxation (PBE-GGA).

a = 3.7249 Å, b = 3.7249 Å, c = 18.3966 Å
α = 90.00°, β = 90.00°, γ = 90.00°
Last column: nearest neighbours and their distance in Å.
Element x y z (fractional)
Tb 0.0000 0.0000 0.1037  8 Cd 3.25
Tb 0.0000 0.0000 0.3094  8 Cd 3.24, 1 Zr 3.51
Tb 0.0000 0.0000 0.6906  8 Cd 3.24, 1 Zr 3.51
Tb 0.0000 0.0000 0.8963  8 Cd 3.25
Zr 0.0000 0.0000 0.5000  8 Cd 3.09
Cd 0.5000 0.5000 0.0000  8 Tb 3.25
Cd 0.5000 0.5000 0.2068  8 Tb 3.24-3.25
Cd 0.5000 0.5000 0.4120  4 Zr 3.09, 1 Cd 3.24, 4 Tb 3.24
Cd 0.5000 0.5000 0.5880  4 Zr 3.09, 1 Cd 3.24, 4 Tb 3.24
Cd 0.5000 0.5000 0.7932  8 Tb 3.24-3.25

## Properties
- D(E_F): 1.29 states/eV/atom
- Space-group type: P4/mmm, No. 123
- Energy of formation from the pure elements: -0.252 eV per atom


[2]
Entry from Alexandria via LeMat-Bulk: Tb2ZrCd after structural relaxation (PBE-GGA).

a = 5.3284 Å, b = 5.3284 Å, c = 5.3284 Å
α = 60.00°, β = 60.00°, γ = 60.00°
Last column: nearest neighbours and their distance in Å.
Element x y z (fractional)
Tb 0.2500 0.2500 0.2500  4 Zr 3.26, 4 Cd 3.26
Tb 0.7500 0.7500 0.7500  4 Cd 3.26, 4 Zr 3.26
Zr 0.0000 0.0000 0.0000  8 Tb 3.26
Cd 0.5000 0.5000 0.5000  8 Tb 3.26

## Properties
- D(E_F): 1.41 states/eV/atom
- Space-group type: Fm-3m, No. 225
- Energy of formation from the pure elements: 0.047 eV per atom
- Energy relative to the lowest polymorph listed for this composition: 164 meV/atom


[3]
Entry from Alexandria via LeMat-Bulk: Tb2ZrCd after structural relaxation (PBE-GGA).

a = 11.9833 Å, b = 11.9833 Å, c = 11.9833 Å
α = 15.67°, β = 15.67°, γ = 15.67°
Last column: nearest neighbours and their distance in Å.
Element x y z (fractional)
Tb 0.0900 0.0900 0.0900  1 Zr 3.20, 6 Tb 3.27, 3 Cd 3.31
Tb 0.9100 0.9100 0.9100  1 Zr 3.20, 6 Tb 3.27, 3 Cd 3.31
Zr 0.0000 0.0000 0.0000  2 Tb 3.20, 6 Zr 3.27
Cd 0.5000 0.5000 0.5000  6 Cd 3.27, 6 Tb 3.31

## Properties
- D(E_F): 1.33 states/eV/atom
- Space-group type: R-3m, No. 166
- Energy of formation from the pure elements: 0.260 eV per atom
- Energy relative to the lowest polymorph listed for this composition: 377 meV/atom


[4]
Entry from Alexandria via LeMat-Bulk: Tb4ZrCd3 after structural relaxation (PBE-GGA).

a = 3.5247 Å, b = 5.4155 Å, c = 11.1397 Å
α = 90.00°, β = 90.00°, γ = 90.00°
Last column: nearest neighbours and their distance in Å.
Element x y z (fractional)
Tb 0.0000 0.0000 0.0000  8 Cd 3.23-3.32, 2 Tb 3.52
Tb 0.0000 0.0000 0.5000  4 Zr 3.23, 4 Cd 3.27, 2 Tb 3.52
Tb 0.0000 0.5000 0.2484  6 Cd 3.23-3.28, 2 Zr 3.31, 2 Tb 3.52
Tb 0.0000 0.5000 0.7516  6 Cd 3.23-3.28, 2 Zr 3.31, 2 Tb 3.52
Zr 0.5000 0.5000 0.5000  8 Tb 3.23-3.31, 2 Zr 3.52
Cd 0.5000 0.0000 0.2522  8 Tb 3.23-3.32, 2 Cd 3.52
Cd 0.5000 0.0000 0.7478  8 Tb 3.23-3.32, 2 Cd 3.52
Cd 0.5000 0.5000 0.0000  8 Tb 3.23-3.28, 2 Cd 3.52

## Properties
- D(E_F): 1.30 states/eV/atom
- Space-group type: Pmmm, No. 47
- Energy of formation from the pure elements: -0.168 eV per atom


[5]
Entry from Alexandria via LeMat-Bulk: TbZr2Cd6 after structural relaxation (PBE-GGA).

a = 5.8830 Å, b = 5.8830 Å, c = 5.8830 Å
α = 93.44°, β = 93.44°, γ = 93.44°
Last column: nearest neighbours and their distance in Å.
Element x y z (fractional)
Tb 0.0000 0.0000 0.0000  12 Cd 3.27, 2 Zr 3.32
Zr 0.3475 0.3475 0.3475  1 Zr 2.91, 6 Cd 3.21
Zr 0.6525 0.6525 0.6525  1 Zr 2.91, 6 Cd 3.21
Cd 0.1667 0.5000 0.8333  5 Cd 2.85-3.19
Cd 0.1667 0.8333 0.5000  5 Cd 2.85-3.19
Cd 0.5000 0.1667 0.8333  5 Cd 2.85-3.19
Cd 0.5000 0.8333 0.1667  5 Cd 2.85-3.19
Cd 0.8333 0.1667 0.5000  5 Cd 2.85-3.19
Cd 0.8333 0.5000 0.1667  5 Cd 2.85-3.19

## Properties
- D(E_F): 0.69 states/eV/atom
- Space-group type: R-3m, No. 166
- Energy of formation from the pure elements: -0.152 eV per atom


[6]
Entry from Alexandria via LeMat-Bulk: Tb2ZrCd6 after structural relaxation (PBE-GGA).

a = 8.5959 Å, b = 8.5959 Å, c = 3.2936 Å
α = 90.00°, β = 90.00°, γ = 120.00°
Last column: nearest neighbours and their distance in Å.
Element x y z (fractional)
Tb 0.3333 0.6667 0.0000  2 Tb 3.29, 12 Cd 3.32
Tb 0.6667 0.3333 0.0000  2 Tb 3.29, 12 Cd 3.32
Zr 0.0000 0.0000 0.0000  12 Cd 3.27, 2 Zr 3.29
Cd 0.0000 0.3288 0.5000  3 Cd 2.83-2.94
Cd 0.0000 0.6712 0.5000  3 Cd 2.83-2.94
Cd 0.3288 0.0000 0.5000  3 Cd 2.83-2.94
Cd 0.3288 0.3288 0.5000  3 Cd 2.83-2.94
Cd 0.6712 0.0000 0.5000  3 Cd 2.83-2.94
Cd 0.6712 0.6712 0.5000  3 Cd 2.83-2.94

## Properties
- D(E_F): 0.76 states/eV/atom
- Space-group type: P6/mmm, No. 191
- Energy of formation from the pure elements: -0.227 eV per atom


[7]
Entry from Alexandria via LeMat-Bulk: Tb5ZrCd4 after structural relaxation (PBE-GGA).

a = 3.5991 Å, b = 3.5991 Å, c = 20.6406 Å
α = 90.00°, β = 90.00°, γ = 90.00°
Last column: nearest neighbours and their distance in Å.
Element x y z (fractional)
Tb 0.0000 0.0000 0.0000  8 Cd 3.23, 4 Tb 3.60
Tb 0.0000 0.0000 0.1932  8 Cd 3.24-3.26, 4 Tb 3.60
Tb 0.0000 0.0000 0.3937  4 Cd 3.30, 4 Zr 3.36, 4 Tb 3.60
Tb 0.0000 0.0000 0.6063  4 Cd 3.30, 4 Zr 3.36, 4 Tb 3.60
Tb 0.0000 0.0000 0.8068  8 Cd 3.24-3.26, 4 Tb 3.60
Zr 0.5000 0.5000 0.5000  8 Tb 3.36, 4 Zr 3.60
Cd 0.5000 0.5000 0.0962  8 Tb 3.23-3.24, 4 Cd 3.60
Cd 0.5000 0.5000 0.2919  8 Tb 3.26-3.30, 4 Cd 3.60
Cd 0.5000 0.5000 0.7081  8 Tb 3.26-3.30, 4 Cd 3.60
Cd 0.5000 0.5000 0.9038  8 Tb 3.23-3.24, 4 Cd 3.60

## Properties
- D(E_F): 1.18 states/eV/atom
- Space-group type: P4/mmm, No. 123
- Energy of formation from the pure elements: -0.220 eV per atom


[8]
Entry from Alexandria via LeMat-Bulk: TbZrCd6 after structural relaxation (PBE-GGA).

a = 4.5882 Å, b = 4.5882 Å, c = 8.7150 Å
α = 90.00°, β = 90.00°, γ = 90.00°
Last column: nearest neighbours and their distance in Å.
Element x y z (fractional)
Tb 0.0000 0.0000 0.0000  12 Cd 3.23-3.24
Zr 0.0000 0.0000 0.5000  12 Cd 3.10-3.24
Cd 0.0000 0.5000 0.2606  8 Cd 3.10-3.24, 2 Zr 3.10, 2 Tb 3.23
Cd 0.0000 0.5000 0.7394  8 Cd 3.10-3.24, 2 Zr 3.10, 2 Tb 3.23
Cd 0.5000 0.0000 0.2606  8 Cd 3.10-3.24, 2 Zr 3.10, 2 Tb 3.23
Cd 0.5000 0.0000 0.7394  8 Cd 3.10-3.24, 2 Zr 3.10, 2 Tb 3.23
Cd 0.5000 0.5000 0.0000  8 Cd 3.23, 4 Tb 3.24
Cd 0.5000 0.5000 0.5000  8 Cd 3.10, 4 Zr 3.24

## Properties
- D(E_F): 0.96 states/eV/atom
- Space-group type: P4/mmm, No. 123
- Energy of formation from the pure elements: -0.166 eV per atom


[9]
Entry from Alexandria via LeMat-Bulk: Cd5Tc3 after structural relaxation (PBE-GGA).

a = 6.7550 Å, b = 6.7550 Å, c = 11.0346 Å
α = 90.00°, β = 90.00°, γ = 141.16°
Last column: nearest neighbours and their distance in Å.
Element x y z (fractional)
Cd 0.0000 0.0000 0.1268  7 Cd 2.80-2.99, 2 Tc 2.93
Cd 0.0000 0.0000 0.8732  7 Cd 2.80-2.99, 2 Tc 2.93
Cd 0.1294 0.8706 0.3532  5 Tc 2.82-2.86, 3 Cd 2.96-2.99
Cd 0.1294 0.8706 0.6468  5 Tc 2.82-2.86, 3 Cd 2.96-2.99
Cd 0.3519 0.6481 0.1792  4 Tc 2.75-3.07, 4 Cd 2.96-2.99
Cd 0.3519 0.6481 0.8208  4 Tc 2.75-3.07, 4 Cd 2.96-2.99
Cd 0.6481 0.3519 0.1792  4 Tc 2.75-3.07, 4 Cd 2.96-2.99
Cd 0.6481 0.3519 0.8208  4 Tc 2.75-3.07, 4 Cd 2.96-2.99
Cd 0.8706 0.1294 0.3532  5 Tc 2.82-2.86, 3 Cd 2.96-2.99
Cd 0.8706 0.1294 0.6468  5 Tc 2.82-2.86, 3 Cd 2.96-2.99
Tc 0.2021 0.7979 0.0000  2 Tc 2.56, 2 Cd 2.75
Tc 0.3143 0.6857 0.5000  4 Tc 2.64-2.78, 6 Cd 2.86
Tc 0.5000 0.5000 0.3945  1 Tc 2.33
Tc 0.5000 0.5000 0.6055  1 Tc 2.33
Tc 0.6857 0.3143 0.5000  4 Tc 2.64-2.78, 6 Cd 2.86
Tc 0.7979 0.2021 0.0000  2 Tc 2.56, 2 Cd 2.75

## Properties
- D(E_F): 0.70 states/eV/atom
- Space-group type: Cmmm, No. 65
- Energy of formation from the pure elements: 0.359 eV per atom
- Energy relative to the lowest polymorph listed for this composition: 0 meV/atom


[10]
Entry from Alexandria via LeMat-Bulk: Cd5Tc4 after structural relaxation (PBE-GGA).

a = 6.6059 Å, b = 6.6059 Å, c = 6.6059 Å
α = 95.47°, β = 95.47°, γ = 144.04°
Last column: nearest neighbours and their distance in Å.
Element x y z (fractional)
Cd 0.0000 0.0000 0.0000  8 Cd 2.96, 4 Tc 3.20
Cd 0.3289 0.3289 0.6578  6 Cd 2.84-3.04, 6 Tc 2.94-3.05
Cd 0.3289 0.6711 0.0000  6 Cd 2.84-3.04, 6 Tc 2.94-3.05
Cd 0.6711 0.3289 0.0000  6 Cd 2.84-3.04, 6 Tc 2.94-3.05
Cd 0.6711 0.6711 0.3422  6 Cd 2.84-3.04, 6 Tc 2.94-3.05
Tc 0.0000 0.3601 0.3601  5 Tc 2.49-2.69
Tc 0.0000 0.6399 0.6399  5 Tc 2.49-2.69
Tc 0.3601 0.0000 0.3601  5 Tc 2.49-2.69
Tc 0.6399 0.0000 0.6399  5 Tc 2.49-2.69

## Properties
- D(E_F): 0.70 states/eV/atom
- Space-group type: I4/mmm, No. 139
- Energy of formation from the pure elements: 0.292 eV per atom


[11]
Entry from Alexandria via LeMat-Bulk: CdTc4 after structural relaxation (PBE-GGA).

a = 4.8236 Å, b = 4.8236 Å, c = 4.8236 Å
α = 99.99°, β = 99.99°, γ = 130.77°
Last column: nearest neighbours and their distance in Å.
Element x y z (fractional)
Cd 0.0000 0.0000 0.0000  12 Tc 2.80-2.87
Tc 0.1964 0.4183 0.6146  7 Tc 2.64-2.76, 3 Cd 2.80-2.87
Tc 0.4183 0.8036 0.2219  7 Tc 2.64-2.76, 3 Cd 2.80-2.87
Tc 0.5817 0.1964 0.7781  7 Tc 2.64-2.76, 3 Cd 2.80-2.87
Tc 0.8036 0.5817 0.3854  7 Tc 2.64-2.76, 3 Cd 2.80-2.87

## Properties
- D(E_F): 0.92 states/eV/atom
- Space-group type: I4/m, No. 87
- Energy of formation from the pure elements: 0.305 eV per atom
- Energy relative to the lowest polymorph listed for this composition: 0 meV/atom


[12]
Entry from Alexandria via LeMat-Bulk: Cd7Tc after structural relaxation (PBE-GGA).

a = 6.1121 Å, b = 6.1121 Å, c = 6.1121 Å
α = 60.00°, β = 60.00°, γ = 60.00°
Last column: nearest neighbours and their distance in Å.
Element x y z (fractional)
Cd 0.0000 0.0000 0.0000  12 Cd 3.06
Cd 0.0000 0.0000 0.5000  10 Cd 3.06, 2 Tc 3.06
Cd 0.0000 0.5000 0.0000  10 Cd 3.06, 2 Tc 3.06
Cd 0.0000 0.5000 0.5000  10 Cd 3.06, 2 Tc 3.06
Cd 0.5000 0.0000 0.0000  10 Cd 3.06, 2 Tc 3.06
Cd 0.5000 0.0000 0.5000  10 Cd 3.06, 2 Tc 3.06
Cd 0.5000 0.5000 0.0000  10 Cd 3.06, 2 Tc 3.06
Tc 0.5000 0.5000 0.5000  12 Cd 3.06

## Properties
- D(E_F): 0.32 states/eV/atom
- Space-group type: Fm-3m, No. 225
- Energy of formation from the pure elements: 0.152 eV per atom